(1)
## CaZn11 (PBE-GGA)

Data for a relaxed structure of CaZn11.

CIF file:
```
data_CaZn11
_chemical_formula_sum 'Ca2 Zn22'
_symmetry_space_group_name_H-M 'P 1'
_symmetry_Int_Tables_number 1
_symmetry_space_group_name_Hall 'P 1'
_cell_length_a 6.8857
_cell_length_b 8.2770
_cell_length_c 8.2770
_cell_angle_alpha 80.04
_cell_angle_beta 65.42
_cell_angle_gamma 65.42
loop_
_atom_site_label
_atom_site_type_symbol
_atom_site_fract_x
_atom_site_fract_y
_atom_site_fract_z
Zn1 Zn 0.0091 0.9156 0.6718
Zn2 Zn 0.3191 0.6718 0.0844
Zn3 Zn 0.0000 0.0000 0.0000
Zn4 Zn 0.7409 0.5844 0.8282
Zn5 Zn 0.4309 0.4156 0.8282
Zn6 Zn 0.1535 0.1718 0.4156
Zn7 Zn 0.3750 0.7500 0.7500
Zn8 Zn 0.8750 0.2500 0.2500
Zn9 Zn 0.5965 0.0844 0.3282
Zn10 Zn 0.0753 0.3282 0.9156
Zn11 Zn 0.5965 0.3282 0.0844
Zn12 Zn 0.7500 0.5000 0.5000
Zn13 Zn 0.0753 0.9156 0.3282
Zn14 Zn 0.8750 0.2500 0.7500
Zn15 Zn 0.0091 0.6718 0.9156
Zn16 Zn 0.3191 0.0844 0.6718
Zn17 Zn 0.1535 0.4156 0.1718
Zn18 Zn 0.6747 0.5844 0.1718
Zn19 Zn 0.8750 0.7500 0.2500
Zn20 Zn 0.4309 0.8282 0.4156
Zn21 Zn 0.7409 0.8282 0.5844
Zn22 Zn 0.6747 0.1718 0.5844
Ca1 Ca 0.2500 0.5000 0.5000
Ca2 Ca 0.5000 0.0000 0.0000
```

As for the formation energy: -184 kJ/mol of formula units. The magnetic moment is 0.0 Bohr magnetons per cell. The space group is No. 141. The calculated total energy comes out at -1.493 eV per atom.

(2)
## Ca3Zn4 (PBE-GGA)

Data for a relaxed structure of Ca3Zn4.

CIF file:
```
data_Ca3Zn4
_chemical_formula_sum 'Ca3 Zn4'
_symmetry_space_group_name_H-M 'P 1'
_symmetry_Int_Tables_number 1
_symmetry_space_group_name_Hall 'P 1'
_cell_length_a 4.4527
_cell_length_b 3.9970
_cell_length_c 10.1633
_cell_angle_alpha 101.34
_cell_angle_beta 102.65
_cell_angle_gamma 90.00
loop_
_atom_site_label
_atom_site_type_symbol
_atom_site_fract_x
_atom_site_fract_y
_atom_site_fract_z
Ca1 Ca 0.5000 0.0000 0.0000
Ca2 Ca 0.8115 0.8115 0.6230
Ca3 Ca 0.1885 0.1885 0.3770
Zn1 Zn 0.0657 0.5657 0.1313
Zn2 Zn 0.9343 0.4343 0.8687
Zn3 Zn 0.3633 0.3633 0.7266
Zn4 Zn 0.6367 0.6367 0.2734
```

As for the formation energy: -174 kJ/mol of formula units. The magnetic moment is 0.0 Bohr magnetons per cell. The space group is No. 71. The calculated total energy comes out at -1.844 eV per atom.